1.
A geometry-optimized BaReSn3 structure. Source: Alexandria, functional PBE.

Unit cell a=5.863 b=5.863 c=5.863 alpha=90.00 beta=90.00 gamma=90.00
Space group Pm-3m (No. 221)
Symmetry-distinct sites (fractional):
Ba 0.000 0.000 0.000
Re 0.500 0.500 0.500
Sn 0.000 0.000 0.500

Properties
ΔH_f (0 K): 2.5232 eV per atom
size of the total moment: 0.0 μB per formula unit
theoretical density: 5.6 g/cm3
D(E_F): 3.177 states/eV per atom

2.
A geometry-optimized Ba3ReSn structure. Source: Alexandria, functional PBE.

Unit cell a=5.878 b=5.878 c=5.878 alpha=90.00 beta=90.00 gamma=90.00
Space group Pm-3m (No. 221)
Symmetry-distinct sites (fractional):
Ba 0.000 0.000 0.500
Re 0.000 0.000 0.000
Sn 0.500 0.500 0.500

Properties
ΔH_f (0 K): 0.5390 eV per atom
size of the total moment: 1.2 μB per formula unit
theoretical density: 5.9 g/cm3
D(E_F): 1.254 states/eV per atom

3.
A geometry-optimized BaZrReSn2 structure. Source: Alexandria, functional PBE.

Unit cell a=5.716 b=5.716 c=5.092 alpha=90.00 beta=90.00 gamma=90.00
Space group P4/mmm (No. 123)
Symmetry-distinct sites (fractional):
Ba 0.000 0.000 0.000
Zr 0.500 0.500 0.500
Re 0.000 0.000 0.500
Sn 0.000 0.500 0.000

Properties
ΔH_f (0 K): 2.2382 eV per atom
size of the total moment: 0.0 μB per formula unit
theoretical density: 6.5 g/cm3
D(E_F): 1.588 states/eV per atom

4.
A geometry-optimized BaSrRe2 structure. Source: Alexandria, functional PBE.

Unit cell a=4.086 b=4.086 c=10.896 alpha=90.00 beta=90.00 gamma=90.00
Space group I4/mmm (No. 139)
Symmetry-distinct sites (fractional):
Ba 0.000 0.000 0.000
Sr 0.000 0.000 0.500
Re 0.000 0.500 0.250

Properties
ΔH_f (0 K): 1.4804 eV per atom
size of the total moment: 0.0 μB per formula unit
theoretical density: 10.9 g/cm3
D(E_F): 0.757 states/eV per atom

5.
A geometry-optimized BaSrRe4 structure. Source: Alexandria, functional PBE.

Unit cell a=7.915 b=7.915 c=7.915 alpha=90.00 beta=90.00 gamma=90.00
Space group F-43m (No. 216)
Symmetry-distinct sites (fractional):
Ba 0.000 0.000 0.000
Sr 0.250 0.250 0.250
Re 0.125 0.125 0.625

Properties
ΔH_f (0 K): 0.7697 eV per atom
size of the total moment: 0.0 μB per formula unit
theoretical density: 13.0 g/cm3
D(E_F): 1.112 states/eV per atom

6.
A geometry-optimized BaSrRe structure. Source: Alexandria, functional PBE.

Unit cell a=7.538 b=7.538 c=7.538 alpha=90.00 beta=90.00 gamma=90.00
Space group F-43m (No. 216)
Symmetry-distinct sites (fractional):
Ba 0.000 0.000 0.000
Sr 0.000 0.000 0.500
Re 0.250 0.250 0.250

Properties
ΔH_f (0 K): 1.2562 eV per atom
size of the total moment: 1.4 μB per formula unit
theoretical density: 6.4 g/cm3
D(E_F): 2.023 states/eV per atom

7.
A geometry-optimized BaSrRe2 structure. Source: Alexandria, functional PBE.

Unit cell a=5.083 b=5.083 c=7.208 alpha=90.00 beta=90.00 gamma=90.00
Space group I-4m2 (No. 119)
Symmetry-distinct sites (fractional):
Ba 0.000 0.000 0.000
Sr 0.000 0.500 0.250
Re 0.000 0.000 0.500
Re 0.000 0.500 0.750

Properties
ΔH_f (0 K): 1.4810 eV per atom
size of the total moment: 0.0 μB per formula unit
theoretical density: 10.7 g/cm3
D(E_F): 1.793 states/eV per atom

8.
A geometry-optimized BaSr2Re structure. Source: Alexandria, functional PBE.

Unit cell a=7.024 b=11.616 c=3.702 alpha=90.00 beta=112.45 gamma=90.00
Space group C2/m (No. 12)
Symmetry-distinct sites (fractional):
Ba 0.000 0.000 0.000
Sr 0.250 0.250 0.500
Re 0.000 0.500 0.000

Properties
ΔH_f (0 K): 1.1869 eV per atom
size of the total moment: 2.0 μB per formula unit
theoretical density: 5.9 g/cm3
D(E_F): 1.106 states/eV per atom

9.
A geometry-optimized BaSr3Re structure. Source: Alexandria, functional PBE.

Unit cell a=5.896 b=5.896 c=5.896 alpha=90.00 beta=90.00 gamma=90.00
Space group Pm-3m (No. 221)
Symmetry-distinct sites (fractional):
Ba 0.000 0.000 0.000
Sr 0.000 0.000 0.500
Re 0.500 0.500 0.500

Properties
ΔH_f (0 K): 2.2115 eV per atom
size of the total moment: 0.0 μB per formula unit
theoretical density: 4.8 g/cm3
D(E_F): 2.683 states/eV per atom

10.
A geometry-optimized BaSrRe2 structure. Source: Alexandria, functional PBE.

Unit cell a=3.041 b=5.250 c=6.870 alpha=90.00 beta=90.33 gamma=90.00
Space group P2/m (No. 10)
Symmetry-distinct sites (fractional):
Ba 0.000 0.000 0.000
Sr 0.000 0.000 0.500
Re 0.498 0.500 0.333

Properties
ΔH_f (0 K): 1.1307 eV per atom
size of the total moment: 0.0 μB per formula unit
theoretical density: 9.0 g/cm3
D(E_F): 1.011 states/eV per atom

11.
A geometry-optimized BaSrRe2 structure. Source: Alexandria, functional PBE.

Unit cell a=3.327 b=3.328 c=9.929 alpha=90.00 beta=90.69 gamma=90.00
Space group Pm (No. 6)
Symmetry-distinct sites (fractional):
Ba 0.000 0.000 0.000
Sr 0.477 0.500 0.395
Re 0.490 0.500 0.743
Re 0.986 0.000 0.633

Properties
ΔH_f (0 K): 0.5871 eV per atom
size of the total moment: 0.0 μB per formula unit
theoretical density: 9.0 g/cm3
D(E_F): 1.070 states/eV per atom

12.
A geometry-optimized Ba3SrRe structure. Source: Alexandria, functional PBE.

Unit cell a=6.175 b=6.175 c=6.175 alpha=90.00 beta=90.00 gamma=90.00
Space group Pm-3m (No. 221)
Symmetry-distinct sites (fractional):
Ba 0.000 0.000 0.500
Sr 0.500 0.500 0.500
Re 0.000 0.000 0.000

Properties
ΔH_f (0 K): 0.6445 eV per atom
size of the total moment: 0.0 μB per formula unit
theoretical density: 4.8 g/cm3
D(E_F): 0.995 states/eV per atom

13.
A geometry-optimized BaSrRe structure. Source: Alexandria, functional PBE.

Unit cell a=5.6202 b=5.6202 c=3.0211 alpha=90.00 beta=90.00 gamma=120.00
Space group P3m1 (No. 156)
Symmetry-distinct sites (fractional):
Ba 0.0000 0.0000 0.0000
Sr 0.3333 0.6667 0.9921
Re 0.6667 0.3333 0.4965

Properties
ΔH_f (0 K): 1.2241 eV per atom
size of the total moment: 0.0 μB per formula unit
theoretical density: 8.3 g/cm3
D(E_F): 0.786 states/eV per atom

14.
A geometry-optimized BaSr2Re structure. Source: Alexandria, functional PBE.

Unit cell a=3.769 b=3.769 c=10.895 alpha=90.00 beta=90.00 gamma=90.00
Space group P4mm (No. 99)
Symmetry-distinct sites (fractional):
Ba 0.000 0.000 0.000
Sr 0.000 0.000 0.351
Sr 0.500 0.500 0.666
Re 0.500 0.500 0.181

Properties
ΔH_f (0 K): 0.8550 eV per atom
size of the total moment: 1.5 μB per formula unit
theoretical density: 5.4 g/cm3
D(E_F): 1.332 states/eV per atom

15.
A geometry-optimized BaSr2Re structure. Source: Alexandria, functional PBE.

Unit cell a=3.627 b=5.640 c=15.854 alpha=90.00 beta=90.00 gamma=90.00
Space group Imm2 (No. 44)
Symmetry-distinct sites (fractional):
Ba 0.000 0.000 0.000
Sr 0.000 0.000 0.322
Sr 0.000 0.500 0.163
Re 0.000 0.500 0.662

Properties
ΔH_f (0 K): 0.8448 eV per atom
size of the total moment: 1.3 μB per formula unit
theoretical density: 5.1 g/cm3
D(E_F): 1.402 states/eV per atom

16.
A geometry-optimized BaSrRe2 structure. Source: Alexandria, functional PBE.

Unit cell a=8.673 b=8.673 c=5.615 alpha=90.00 beta=90.00 gamma=90.00
Space group I-42d (No. 122)
Symmetry-distinct sites (fractional):
Ba 0.000 0.000 0.000
Sr 0.000 0.000 0.500
Re 0.248 0.250 0.625

Properties
ΔH_f (0 K): 1.8667 eV per atom
size of the total moment: 2.3 μB per formula unit
theoretical density: 9.4 g/cm3
D(E_F): 1.316 states/eV per atom

17.
A geometry-optimized BaSrRe2 structure. Source: Alexandria, functional PBE.

Unit cell a=5.809 b=10.854 c=2.913 alpha=90.00 beta=94.35 gamma=90.00
Space group C2/m (No. 12)
Symmetry-distinct sites (fractional):
Ba 0.000 0.000 0.000
Sr 0.000 0.500 0.000
Re 0.250 0.250 0.500

Properties
ΔH_f (0 K): 1.4909 eV per atom
size of the total moment: 0.0 μB per formula unit
theoretical density: 10.8 g/cm3
D(E_F): 0.884 states/eV per atom

18.
A geometry-optimized BaSrRe2 structure. Source: Alexandria, functional PBE.

Unit cell a=3.822 b=5.471 c=11.255 alpha=90.00 beta=90.00 gamma=90.00
Space group Imm2 (No. 44)
Symmetry-distinct sites (fractional):
Ba 0.000 0.000 0.000
Sr 0.000 0.500 0.219
Re 0.000 0.000 0.410
Re 0.000 0.500 0.786

Properties
ΔH_f (0 K): 0.6970 eV per atom
size of the total moment: 0.0 μB per formula unit
theoretical density: 8.4 g/cm3
D(E_F): 1.007 states/eV per atom

19.
A geometry-optimized BaSrRe2 structure. Source: Alexandria, functional PBE.

Unit cell a=4.175 b=4.175 c=6.828 alpha=90.00 beta=90.00 gamma=90.00
Space group P4/mmm (No. 123)
Symmetry-distinct sites (fractional):
Ba 0.000 0.000 0.000
Sr 0.000 0.000 0.500
Re 0.500 0.500 0.336

Properties
ΔH_f (0 K): 1.2545 eV per atom
size of the total moment: 0.0 μB per formula unit
theoretical density: 8.3 g/cm3
D(E_F): 1.220 states/eV per atom

20.
A geometry-optimized BaSrRe2 structure. Source: Alexandria, functional PBE.

Unit cell a=3.920 b=4.267 c=5.437 alpha=90.00 beta=90.00 gamma=90.00
Space group Pmmm (No. 47)
Symmetry-distinct sites (fractional):
Ba 0.000 0.000 0.000
Sr 0.500 0.500 0.000
Re 0.000 0.500 0.500
Re 0.500 0.000 0.500

Properties
ΔH_f (0 K): 1.4756 eV per atom
size of the total moment: 0.0 μB per formula unit
theoretical density: 10.9 g/cm3
D(E_F): 0.580 states/eV per atom

21.
A geometry-optimized BaSrRe2 structure. Source: Alexandria, functional PBE.

Unit cell a=11.705 b=3.938 c=7.499 alpha=90.00 beta=125.38 gamma=90.00
Space group C2/m (No. 12)
Symmetry-distinct sites (fractional):
Ba 0.000 0.000 0.000
Sr 0.000 0.500 0.500
Re 0.239 0.500 0.402

Properties
ΔH_f (0 K): 0.8147 eV per atom
size of the total moment: 0.0 μB per formula unit
theoretical density: 7.0 g/cm3
D(E_F): 1.387 states/eV per atom

22.
A geometry-optimized Ba4SrRe structure. Source: Alexandria, functional PBE.

Unit cell a=10.433 b=10.433 c=10.433 alpha=90.00 beta=90.00 gamma=90.00
Space group F-43m (No. 216)
Symmetry-distinct sites (fractional):
Ba 0.123 0.123 0.123
Sr 0.000 0.000 0.500
Re 0.250 0.250 0.750

Properties
ΔH_f (0 K): 1.1879 eV per atom
size of the total moment: 1.9 μB per formula unit
theoretical density: 4.8 g/cm3
D(E_F): 1.728 states/eV per atom

23.
A geometry-optimized BaSr2Re structure. Source: Alexandria, functional PBE.

Unit cell a=5.122 b=5.122 c=5.215 alpha=90.00 beta=90.00 gamma=90.00
Space group P4/mmm (No. 123)
Symmetry-distinct sites (fractional):
Ba 0.000 0.000 0.000
Sr 0.000 0.500 0.500
Re 0.500 0.500 0.000

Properties
ΔH_f (0 K): 1.0348 eV per atom
size of the total moment: 1.1 μB per formula unit
theoretical density: 6.1 g/cm3
D(E_F): 1.207 states/eV per atom

24.
A geometry-optimized BaSr2Re structure. Source: Alexandria, functional PBE.

Unit cell a=3.8225 b=3.8225 c=36.1598 alpha=90.00 beta=90.00 gamma=120.00
Space group R-3m (No. 166, hexagonal axes)
Symmetry-distinct sites (fractional):
Ba 0.0000 0.0000 0.0000
Sr 0.0000 0.0000 0.2271
Re 0.0000 0.0000 0.5000

Properties
ΔH_f (0 K): 1.0259 eV per atom
size of the total moment: 1.5 μB per formula unit
theoretical density: 5.4 g/cm3
D(E_F): 1.384 states/eV per atom

25.
A geometry-optimized BaSr2Re structure. Source: Alexandria, functional PBE.

Unit cell a=8.534 b=8.534 c=12.185 alpha=90.00 beta=90.00 gamma=90.00
Space group I4_1/amd (No. 141, origin choice 2)
Symmetry-distinct sites (fractional):
Ba 0.000 0.250 0.375
Sr 0.000 0.000 0.000
Re 0.000 0.250 0.875

Properties
ΔH_f (0 K): 1.3843 eV per atom
size of the total moment: 0.0 μB per formula unit
theoretical density: 3.7 g/cm3
D(E_F): 2.352 states/eV per atom

26.
A geometry-optimized Ba3SrRe structure. Source: Alexandria, functional PBE.

Unit cell a=6.298 b=6.298 c=6.298 alpha=90.00 beta=90.00 gamma=90.00
Space group Pm-3m (No. 221)
Symmetry-distinct sites (fractional):
Ba 0.000 0.000 0.500
Sr 0.000 0.000 0.000
Re 0.500 0.500 0.500

Properties
ΔH_f (0 K): 2.0839 eV per atom
size of the total moment: 0.4 μB per formula unit
theoretical density: 4.6 g/cm3
D(E_F): 2.475 states/eV per atom

27.
A geometry-optimized BaSrRe2 structure. Source: Alexandria, functional PBE.

Unit cell a=7.493 b=7.493 c=7.493 alpha=90.00 beta=90.00 gamma=90.00
Space group Fm-3m (No. 225)
Symmetry-distinct sites (fractional):
Ba 0.000 0.000 0.000
Sr 0.000 0.000 0.500
Re 0.250 0.250 0.250

Properties
ΔH_f (0 K): 1.8608 eV per atom
size of the total moment: 4.2 μB per formula unit
theoretical density: 9.4 g/cm3
D(E_F): 1.067 states/eV per atom

28.
A geometry-optimized BaSr3Re structure. Source: Alexandria, functional PBE.

Unit cell a=6.097 b=6.097 c=6.097 alpha=90.00 beta=90.00 gamma=90.00
Space group Pm-3m (No. 221)
Symmetry-distinct sites (fractional):
Ba 0.000 0.000 0.000
Sr 0.000 0.500 0.500
Re 0.500 0.500 0.500

Properties
ΔH_f (0 K): 0.6363 eV per atom
size of the total moment: 2.0 μB per formula unit
theoretical density: 4.3 g/cm3
D(E_F): 0.772 states/eV per atom

29.
A geometry-optimized BaSr2Re structure. Source: Alexandria, functional PBE.

Unit cell a=3.648 b=5.746 c=15.395 alpha=90.00 beta=90.00 gamma=90.00
Space group Immm (No. 71)
Symmetry-distinct sites (fractional):
Ba 0.000 0.000 0.000
Sr 0.000 0.500 0.167
Re 0.000 0.000 0.500

Properties
ΔH_f (0 K): 0.8588 eV per atom
size of the total moment: 1.7 μB per formula unit
theoretical density: 5.1 g/cm3
D(E_F): 1.293 states/eV per atom

30.
A geometry-optimized BaSr2Re structure. Source: Alexandria, functional PBE.

Unit cell a=5.365 b=5.365 c=9.324 alpha=90.00 beta=90.00 gamma=90.00
Space group I-4m2 (No. 119)
Symmetry-distinct sites (fractional):
Ba 0.000 0.000 0.000
Sr 0.000 0.000 0.500
Sr 0.000 0.500 0.250
Re 0.000 0.500 0.750

Properties
ΔH_f (0 K): 1.0031 eV per atom
size of the total moment: 1.1 μB per formula unit
theoretical density: 6.2 g/cm3
D(E_F): 1.092 states/eV per atom